Entry 1:
VASP calculation (PBE) on crystalline Ce2Pm5Pt4 at its relaxed geometry.

Geometry as POSCAR:
```
Ce2Pm5Pt4
1.0
12.375 -1.910 0.000
12.375 1.910 0.000
-0.271 0.000 6.945
Ce Pm Pt
2 5 4
Direct
0.089 0.089 0.152 Ce
0.911 0.911 0.848 Ce
0.135 0.135 0.675 Pm
0.231 0.231 0.232 Pm
0.500 0.500 0.500 Pm
0.769 0.769 0.768 Pm
0.865 0.865 0.325 Pm
0.026 0.026 0.804 Pt
0.331 0.331 0.015 Pt
0.669 0.669 0.985 Pt
0.974 0.974 0.196 Pt
```

Properties
Symmetry: No. 12
DFT formation energy: -587 meV per atom



Entry 2:
VASP calculation (PBE) on crystalline Ce3Pm4Pt4 at its relaxed geometry.

Geometry as POSCAR:
```
Ce3Pm4Pt4
1.0
-2.390 3.811 8.025
2.390 -3.811 8.025
2.390 3.811 -8.025
Ce Pm Pt
3 4 4
Direct
0.000 0.000 0.000 Ce
0.414 0.914 0.500 Ce
0.586 0.086 0.500 Ce
0.054 0.329 0.724 Pm
0.395 0.671 0.724 Pm
0.605 0.329 0.276 Pm
0.946 0.671 0.276 Pm
0.194 0.194 0.000 Pt
0.308 0.500 0.808 Pt
0.692 0.500 0.192 Pt
0.806 0.806 0.000 Pt
```

Properties
Symmetry: No. 71
DFT formation energy: -743 meV per atom



Entry 3:
VASP calculation (PBE) on crystalline CePmPt at its relaxed geometry.

Geometry as POSCAR:
```
CePmPt
1.0
7.034 0.000 0.000
0.000 7.034 0.000
0.000 0.000 7.034
Ce Pm Pt
4 4 4
Direct
0.000 0.000 0.000 Ce
0.000 0.500 0.500 Ce
0.500 0.000 0.500 Ce
0.500 0.500 0.000 Ce
0.000 0.000 0.500 Pm
0.000 0.500 0.000 Pm
0.500 0.000 0.000 Pm
0.500 0.500 0.500 Pm
0.250 0.250 0.250 Pt
0.250 0.750 0.750 Pt
0.750 0.250 0.750 Pt
0.750 0.750 0.250 Pt
```

Properties
Symmetry: No. 216
Excess energy over the best structure of this formula in the dataset: 135 meV per atom
DFT formation energy: -617 meV per atom



Entry 4:
VASP calculation (PBE) on crystalline CePm4Pt4 at its relaxed geometry.

Geometry as POSCAR:
```
CePm4Pt4
1.0
9.288 0.000 0.000
0.000 9.288 0.000
0.000 0.000 5.884
Ce Pm Pt
2 8 8
Direct
0.250 0.250 0.250 Ce
0.750 0.750 0.750 Ce
0.060 0.651 0.248 Pm
0.151 0.940 0.748 Pm
0.349 0.560 0.748 Pm
0.440 0.849 0.248 Pm
0.560 0.151 0.752 Pm
0.651 0.440 0.252 Pm
0.849 0.060 0.252 Pm
0.940 0.349 0.752 Pm
0.041 0.649 0.748 Pt
0.149 0.959 0.248 Pt
0.351 0.541 0.248 Pt
0.459 0.851 0.748 Pt
0.541 0.149 0.252 Pt
0.649 0.459 0.752 Pt
0.851 0.041 0.752 Pt
0.959 0.351 0.252 Pt
```

Properties
Symmetry: No. 86
DFT formation energy: -956 meV per atom